First-principles (PBE) data for a geometry-optimized Tb4YTm structure, as listed in Alexandria via LeMat-Bulk.

Computed properties:
total moment = 0.00 Bohr magnetons per cell
ΔE to the lowest computed polymorph = 117.1 meV/atom
Fermi-level density of states = 18.761 states/eV/cell
SG = No. 15
total energy = -57.27 eV for the cell shown
energy of formation from the pure elements = 0.14 eV/atom

The structure in POSCAR format:
```
Tb4YTm
1.0
4.380 -7.444 0.000
4.380 7.444 0.000
-2.457 0.000 5.956
Tb Y Tm
8 2 2
Direct
0.108 0.711 0.958
0.173 0.423 0.618
0.289 0.892 0.542
0.423 0.173 0.118
0.577 0.827 0.882
0.711 0.108 0.458
0.827 0.577 0.382
0.892 0.289 0.042
0.416 0.584 0.250
0.584 0.416 0.750
0.004 0.996 0.250
0.996 0.004 0.750
```